[1]
TlCoAgF4 after structural relaxation, computed with GGA+U.

It has space group P2_1/m (No. 11), with a = 5.853 Å, b = 6.027 Å, c = 7.808 Å, α = 90.00°, β = 105.25° and γ = 90.00°. The inequivalent atoms are Tl at (0.103, 0.250, 0.134), Co at (0.366, 0.250, 0.696), Ag at (0.183, 0.750, 0.468), F at (0.158, 0.004, 0.716), F at (0.306, 0.750, 0.177) and F at (0.385, 0.250, 0.449).


[2]
TlCoAgF6 after structural relaxation, computed with GGA+U.

It has space group P-31c (No. 163), with a = 5.8843 Å, b = 5.8843 Å, c = 8.9106 Å, α = 90.00°, β = 90.00° and γ = 120.00°. The inequivalent atoms are Tl at (0.3333, 0.6667, 0.2500), Co at (0.3333, 0.6667, 0.7500), Ag at (0.0000, 0.0000, 0.0000) and F at (0.0737, 0.4006, 0.6314).


[3]
TlCo2AgF8 after structural relaxation, computed with GGA+U.

It has space group P-3m1 (No. 164), with a = 6.0584 Å, b = 6.0584 Å, c = 7.7956 Å, α = 90.00°, β = 90.00° and γ = 120.00°. The inequivalent atoms are Tl at (0.0000, 0.0000, 0.0000), Co at (0.3333, 0.6667, 0.2272), Ag at (0.0000, 0.0000, 0.5000), F at (0.1654, 0.3308, 0.2953) and F at (0.3333, 0.6667, 0.9948).


[4]
TlCoAg2F6 after structural relaxation, computed with GGA+U.

It has space group R-3 (No. 148, hexagonal axes), with a = 6.2025 Å, b = 6.2025 Å, c = 14.1859 Å, α = 90.00°, β = 90.00° and γ = 120.00°. The inequivalent atoms are Tl at (0.0000, 0.0000, 0.0000), Co at (0.0000, 0.0000, 0.5000), Ag at (0.0000, 0.0000, 0.2622) and F at (0.0049, 0.7556, 0.4235).


[5]
TlCoAg2F8 after structural relaxation, computed with GGA+U.

It has space group P2/m (No. 10), with a = 5.224 Å, b = 6.762 Å, c = 5.402 Å, α = 90.00°, β = 90.99° and γ = 90.00°. The inequivalent atoms are Tl at (0.000, 0.000, 0.000), Co at (0.000, 0.500, 0.000), Ag at (0.500, 0.271, 0.500), F at (0.179, 0.275, 0.826), F at (0.251, 0.500, 0.245) and F at (0.290, 0.000, 0.285).


[6]
TmCoAgF6 after structural relaxation, computed with GGA+U.

It has space group P-31c (No. 163), with a = 5.6836 Å, b = 5.6836 Å, c = 10.1397 Å, α = 90.00°, β = 90.00° and γ = 120.00°. The inequivalent atoms are Tm at (0.3333, 0.6667, 0.2500), Co at (0.3333, 0.6667, 0.7500), Ag at (0.0000, 0.0000, 0.0000) and F at (0.0119, 0.3723, 0.6419).


[7]
YCoAgF6 after structural relaxation, computed with GGA+U.

It has space group P-31c (No. 163), with a = 5.7607 Å, b = 5.7607 Å, c = 9.9964 Å, α = 90.00°, β = 90.00° and γ = 120.00°. The inequivalent atoms are Y at (0.3333, 0.6667, 0.2500), Co at (0.3333, 0.6667, 0.7500), Ag at (0.0000, 0.0000, 0.0000) and F at (0.0180, 0.3743, 0.6403).


[8]
ZnCo2AgF8 after structural relaxation, computed with GGA+U.

It has space group P2/m (No. 10), with a = 4.843 Å, b = 6.585 Å, c = 4.858 Å, α = 90.00°, β = 90.85° and γ = 90.00°. The inequivalent atoms are Zn at (0.000, 0.000, 0.000), Co at (0.500, 0.243, 0.500), Ag at (0.000, 0.500, 0.000), F at (0.212, 0.224, 0.210), F at (0.304, 0.000, 0.694) and F at (0.322, 0.500, 0.674).


Computed values of uncorrected energy (unit: eV/atom) for the preceding records, in sequence: -4.185; -3.987; -4.199; -3.951; -3.951; -5.360; -5.544; -4.355.